DFT (PBE) results for an optimized crystal structure of La2CSeBr.

Lattice parameters (Å, degrees): 5.644 5.526 5.644 90.00 90.00 90.00
Last column: magnetic moment on the atom in μB.
Fractional positions:
C (0.500, 0.500, 0.500)  0.76
Se (0.000, 0.000, 0.000)  0.01
Br (0.000, 0.500, 0.000)  0.06
La (0.000, 0.000, 0.500)  -0.09
La (0.500, 0.000, 0.000)  -0.07

Values from the calculation:
volume	35.2	Å³/atom
energy relative to the elements, uncorrected	0.669	eV per atom



DFT (PBE) results for an optimized crystal structure of AlNi6Pd.

Lattice parameters (Å, degrees): 3.612 3.612 7.186 90.00 90.00 90.00
Last column: magnetic moment on the atom in μB.
Fractional positions:
Al (0.000, 0.000, 0.000)  -0.01
Ni (0.500, 0.500, 0.000)  0.42
Ni (0.500, 0.500, 0.500)  0.53
Ni (0.500, 0.000, 0.242)  0.42
Ni (0.500, 0.000, 0.758)  0.42
Ni (0.000, 0.500, 0.242)  0.42
Ni (0.000, 0.500, 0.758)  0.42
Pd (0.000, 0.000, 0.500)  0.16

Values from the calculation:
volume	11.7	Å³/atom
formation enthalpy at 0 K	-0.181	eV/atom



DFT (PBE) results for an optimized crystal structure of Th2Mg3Ge4.

Lattice parameters (Å, degrees): 6.095 8.200 8.440 90.00 111.17 90.00
Fractional positions:
Th (0.116, 0.587, 0.231)
Th (0.884, 0.413, 0.769)
Th (0.384, 0.087, 0.769)
Th (0.616, 0.913, 0.231)
Mg (0.000, 0.000, 0.000)
Mg (0.500, 0.500, 0.000)
Mg (0.540, 0.750, 0.581)
Mg (0.960, 0.250, 0.419)
Mg (0.460, 0.250, 0.419)
Mg (0.040, 0.750, 0.581)
Ge (0.708, 0.750, 0.917)
Ge (0.792, 0.250, 0.083)
Ge (0.292, 0.250, 0.083)
Ge (0.208, 0.750, 0.917)
Ge (0.186, 0.940, 0.373)
Ge (0.814, 0.060, 0.627)
Ge (0.314, 0.440, 0.627)
Ge (0.686, 0.560, 0.373)

Values from the calculation:
volume	21.9	Å³/atom
formation enthalpy at 0 K	-0.490	eV/atom



DFT (PBE) results for an optimized crystal structure of In2HgCl.

Lattice parameters (Å, degrees): 4.011 4.011 6.868 90.00 90.00 90.00
Fractional positions:
Cl (0.500, 0.500, 0.250)
Hg (0.500, 0.500, 0.750)
In (0.000, 0.000, 0.002)
In (0.000, 0.000, 0.498)

Values from the calculation:
volume	27.6	Å³/atom
energy relative to the elements, uncorrected	-0.287	eV per atom



DFT (PBE) results for an optimized crystal structure of Ba2LaRe.

Lattice parameters (Å, degrees): 3.747 3.747 10.586 90.00 90.00 89.92
Fractional positions:
Re (0.500, 0.500, 0.720)
Ba (0.000, 0.000, 0.919)
Ba (0.500, 0.500, 0.279)
La (0.000, 0.000, 0.583)

Values from the calculation:
volume	37.2	Å³/atom
formation enthalpy at 0 K	0.534	eV/atom



DFT (PBE) results for an optimized crystal structure of H2Pd3Pb2.

Lattice parameters (Å, degrees): 3.533 10.464 6.973 54.86 59.26 32.30
Fractional positions:
H (0.672, 0.244, 0.716)
H (0.328, 0.756, 0.284)
Pd (0.000, 0.000, 0.000)
Pd (0.035, 0.658, 0.320)
Pd (0.965, 0.342, 0.680)
Pb (0.370, 0.746, 0.771)
Pb (0.630, 0.254, 0.229)

Values from the calculation:
volume	16.1	Å³/atom
uncorrected energy	-4.378	eV/atom



DFT (PBE) results for an optimized crystal structure of UCd2F8.

Lattice parameters (Å, degrees): 4.594 6.511 6.511 73.48 95.00 95.00
Last column: magnetic moment on the atom in μB.
Fractional positions:
F (0.239, 0.896, 0.312)  -0.01
F (0.239, 0.312, 0.896)  -0.01
F (0.761, 0.104, 0.688)  -0.01
F (0.233, 0.407, 0.407)  0.00
F (0.761, 0.688, 0.104)  -0.01
F (0.272, 0.839, 0.839)  -0.01
F (0.728, 0.161, 0.161)  -0.01
F (0.767, 0.593, 0.593)  0.00
U (0.000, 0.000, 0.000)  1.98
Cd (0.283, 0.627, 0.627)  0.01
Cd (0.717, 0.373, 0.373)  0.01

Values from the calculation:
volume	16.9	Å³/atom
energy relative to the elements, uncorrected	-2.797	eV per atom



DFT (PBE) results for an optimized crystal structure of ScNbFe.

Lattice parameters (Å, degrees): 3.117 3.117 5.580 106.22 106.22 90.00
Last column: magnetic moment on the atom in μB.
Fractional positions:
Sc (0.011, 0.011, 0.021)  -0.03
Nb (0.311, 0.311, 0.622)  -0.06
Fe (0.679, 0.679, 0.357)  0.25

Values from the calculation:
volume	16.6	Å³/atom
formation enthalpy at 0 K	-0.019	eV/atom



DFT (PBE) results for an optimized crystal structure of BeAlAs2.

Lattice parameters (Å, degrees): 3.602 5.254 3.547 90.00 90.00 90.00
Fractional positions:
Be (0.500, 0.000, 0.500)
As (0.000, 0.000, 0.000)
As (0.500, 0.500, 0.000)
Al (0.000, 0.500, 0.500)

Values from the calculation:
volume	16.8	Å³/atom
formation enthalpy at 0 K	0.343	eV/atom



DFT (PBE) results for an optimized crystal structure of Be3VRh4.

Lattice parameters (Å, degrees): 4.030 5.714 8.060 90.00 90.00 90.00
Fractional positions:
Be (0.000, 0.000, 0.000)
Be (0.000, 0.000, 0.500)
Be (0.500, 0.000, 0.750)
Be (0.500, 0.000, 0.250)
Be (0.500, 0.500, 0.750)
Be (0.500, 0.500, 0.250)
Rh (0.500, 0.758, 0.000)
Rh (0.500, 0.758, 0.500)
Rh (0.500, 0.242, 0.000)
Rh (0.500, 0.242, 0.500)
Rh (0.000, 0.758, 0.750)
Rh (0.000, 0.758, 0.250)
Rh (0.000, 0.242, 0.250)
Rh (0.000, 0.242, 0.750)
V (0.000, 0.500, 0.000)
V (0.000, 0.500, 0.500)

Values from the calculation:
volume	11.6	Å³/atom
formation enthalpy at 0 K	-0.637	eV/atom



DFT (PBE) results for an optimized crystal structure of Ba5Mg4Hg.

Lattice parameters (Å, degrees): 4.304 4.304 21.950 90.00 90.00 90.00
Fractional positions:
Ba (0.500, 0.500, 0.093)
Ba (0.500, 0.500, 0.297)
Ba (0.500, 0.500, 0.500)
Ba (0.500, 0.500, 0.703)
Ba (0.500, 0.500, 0.907)
Mg (0.000, 0.000, 0.197)
Mg (0.000, 0.000, 0.398)
Mg (0.000, 0.000, 0.602)
Mg (0.000, 0.000, 0.803)
Hg (0.000, 0.000, 0.000)

Values from the calculation:
volume	40.7	Å³/atom
formation enthalpy at 0 K	-0.150	eV/atom



DFT (PBE) results for an optimized crystal structure of NaGeP.

Lattice parameters (Å, degrees): 5.636 5.762 5.758 62.34 61.78 61.78
Fractional positions:
Na (0.735, 0.204, 0.065)
Na (0.455, 0.968, 0.830)
Ge (0.075, 0.126, 0.439)
Ge (0.076, 0.580, 0.986)
P (0.166, 0.528, 0.389)
P (0.725, 0.590, 0.450)

Values from the calculation:
volume	23.0	Å³/atom
formation enthalpy at 0 K	-0.134	eV/atom



DFT (PBE) results for an optimized crystal structure of AgSbSN2.

Lattice parameters (Å, degrees): 4.150 4.150 5.116 90.00 90.00 90.00
Last column: magnetic moment on the atom in μB.
Fractional positions:
Sb (0.500, 0.500, 0.500)  -0.23
S (0.000, 0.000, 0.500)  0.11
Ag (0.000, 0.000, 0.000)  0.21
N (0.000, 0.500, 0.000)  0.94
N (0.500, 0.000, 0.000)  0.94

Values from the calculation:
volume	17.6	Å³/atom
energy relative to the elements, uncorrected	1.692	eV per atom



DFT (PBE) results for an optimized crystal structure of MnIr3I.

Lattice parameters (Å, degrees): 4.561 4.561 4.561 90.00 90.00 90.00
Fractional positions:
I (0.500, 0.500, 0.500)
Ir (0.000, 0.500, 0.000)
Ir (0.000, 0.000, 0.500)
Ir (0.500, 0.000, 0.000)
Mn (0.000, 0.000, 0.000)

Values from the calculation:
volume	19.0	Å³/atom
energy relative to the elements, uncorrected	1.515	eV per atom



DFT (PBE) results for an optimized crystal structure of MgSiSnHS.

Lattice parameters (Å, degrees): 3.682 3.772 6.915 90.00 105.51 90.00
Fractional positions:
Mg (0.724, 0.739, 0.323)
Si (0.026, 0.238, 0.931)
Sn (0.459, 0.738, 0.797)
H (0.861, 0.740, 0.606)
S (0.197, 0.239, 0.269)

Values from the calculation:
volume	18.5	Å³/atom
uncorrected energy	-3.823	eV/atom



DFT (PBE) results for an optimized crystal structure of UTl2Bi.

Lattice parameters (Å, degrees): 5.111 4.659 4.659 90.00 90.00 90.00
Last column: magnetic moment on the atom in μB.
Fractional positions:
Tl (0.000, 0.000, 0.500)  0.02
Tl (0.000, 0.500, 0.000)  0.02
U (0.500, 0.000, 0.000)  2.67
Bi (0.500, 0.500, 0.500)  -0.07

Values from the calculation:
volume	27.7	Å³/atom
formation enthalpy at 0 K	0.131	eV/atom



DFT (PBE) results for an optimized crystal structure of CrSb2Au.

Lattice parameters (Å, degrees): 5.613 5.613 5.176 75.20 75.20 33.14
Last column: magnetic moment on the atom in μB.
Fractional positions:
Au (0.527, 0.527, 0.532)  0.01
Cr (0.234, 0.234, 0.199)  3.51
Sb (0.976, 0.976, 0.077)  -0.05
Sb (0.763, 0.763, 0.692)  -0.03

Values from the calculation:
volume	21.5	Å³/atom
energy relative to the elements, uncorrected	0.195	eV per atom



DFT (PBE) results for an optimized crystal structure of Li2TmPb.

Lattice parameters (Å, degrees): 4.851 4.392 4.392 90.00 90.00 90.00
Fractional positions:
Pb (0.500, 0.000, 0.000)
Tm (0.500, 0.500, 0.500)
Li (0.000, 0.000, 0.500)
Li (0.000, 0.500, 0.000)

Values from the calculation:
volume	23.4	Å³/atom
formation enthalpy at 0 K	-0.243	eV/atom



DFT (PBE) results for an optimized crystal structure of CsCeSiS4.

Lattice parameters (Å, degrees): 6.558 6.745 18.180 90.00 90.00 90.00
Last column: magnetic moment on the atom in μB.
Fractional positions:
Cs (0.479, 0.750, 0.217)  0.00
Cs (0.021, 0.750, 0.717)  0.00
Cs (0.521, 0.250, 0.783)  0.00
Cs (0.979, 0.250, 0.283)  0.00
Ce (0.290, 0.750, 0.477)  0.97
Ce (0.210, 0.750, 0.977)  0.97
Ce (0.710, 0.250, 0.523)  0.97
Ce (0.790, 0.250, 0.023)  0.97
Si (0.787, 0.750, 0.416)  0.00
Si (0.713, 0.750, 0.916)  0.00
Si (0.213, 0.250, 0.584)  0.00
Si (0.287, 0.250, 0.084)  0.00
S (0.044, 0.750, 0.346)  -0.01
S (0.456, 0.750, 0.846)  -0.01
S (0.956, 0.250, 0.654)  -0.01
S (0.544, 0.250, 0.154)  -0.01
S (0.625, 0.750, 0.029)  -0.01
S (0.875, 0.750, 0.529)  -0.01
S (0.375, 0.250, 0.971)  -0.01
S (0.125, 0.250, 0.471)  -0.01
S (0.590, 0.501, 0.398)  -0.01
S (0.910, 0.999, 0.898)  -0.01
S (0.410, 0.001, 0.602)  -0.01
S (0.090, 0.499, 0.102)  -0.01
S (0.410, 0.499, 0.602)  -0.01
S (0.090, 0.001, 0.102)  -0.01
S (0.590, 0.999, 0.398)  -0.01
S (0.910, 0.501, 0.898)  -0.01

Values from the calculation:
volume	28.7	Å³/atom
energy relative to the elements, uncorrected	-1.411	eV per atom



DFT (PBE) results for an optimized crystal structure of InAu4.

Lattice parameters (Å, degrees): 5.150 5.150 5.150 90.00 90.00 90.00
Fractional positions:
Au (0.000, 0.000, 0.000)
Au (0.500, 0.000, 0.500)
Au (0.000, 0.500, 0.500)
Au (0.500, 0.500, 0.000)
In (0.500, 0.500, 0.500)

Values from the calculation:
volume	27.3	Å³/atom
formation enthalpy at 0 K	0.756	eV/atom



DFT (PBE) results for an optimized crystal structure of La4TlTc.

Lattice parameters (Å, degrees): 6.488 9.454 8.144 115.05 99.76 113.21
Fractional positions:
La (0.094, 0.201, 0.836)
La (0.774, 0.726, 0.672)
La (0.242, 0.635, 0.836)
La (0.398, 0.946, 0.672)
La (0.602, 0.054, 0.328)
La (0.758, 0.365, 0.164)
La (0.226, 0.274, 0.328)
La (0.906, 0.799, 0.164)
Tl (0.373, 0.623, 0.245)
Tl (0.627, 0.377, 0.755)
Tc (0.253, 0.003, 0.005)
Tc (0.747, 0.997, 0.995)

Values from the calculation:
volume	31.7	Å³/atom
formation enthalpy at 0 K	-0.205	eV/atom



DFT (PBE) results for an optimized crystal structure of HfCu2AgRu.

Lattice parameters (Å, degrees): 4.486 5.066 4.486 90.00 90.00 90.00
Fractional positions:
Ru (0.500, 0.500, 0.500)
Hf (0.000, 0.500, 0.000)
Cu (0.000, 0.000, 0.500)
Cu (0.500, 0.000, 0.000)
Ag (0.000, 0.000, 0.000)

Values from the calculation:
volume	20.4	Å³/atom
formation enthalpy at 0 K	1.345	eV/atom



DFT (PBE) results for an optimized crystal structure of AcTb2Pr4.

Lattice parameters (Å, degrees): 5.863 5.863 9.149 71.31 71.31 60.00
Fractional positions:
Ac (0.000, 0.000, 0.000)
Tb (0.139, 0.139, 0.584)
Tb (0.861, 0.861, 0.416)
Pr (0.423, 0.423, 0.732)
Pr (0.269, 0.269, 0.194)
Pr (0.731, 0.731, 0.806)
Pr (0.577, 0.577, 0.268)

Values from the calculation:
volume	36.1	Å³/atom
formation enthalpy at 0 K	0.119	eV/atom



DFT (PBE) results for an optimized crystal structure of Nb2CoOs2.

Lattice parameters (Å, degrees): 7.284 7.284 3.104 90.00 90.00 90.00
Fractional positions:
Co (0.000, 0.000, 0.000)
Co (0.500, 0.500, 0.000)
Nb (0.165, 0.665, 0.500)
Nb (0.665, 0.835, 0.500)
Nb (0.835, 0.335, 0.500)
Nb (0.335, 0.165, 0.500)
Os (0.363, 0.863, 0.000)
Os (0.863, 0.637, 0.000)
Os (0.637, 0.137, 0.000)
Os (0.137, 0.363, 0.000)

Values from the calculation:
volume	16.5	Å³/atom
formation enthalpy at 0 K	0.268	eV/atom